Entry 1:
{"formula": "NaTl3Ga", "functional": "PBE-GGA", "state": "relaxed", "magmom_total_mub_per_cell": 0.00, "formation_energy_ev_per_atom": 0.445, "polymorph_energy_kj_per_mol_atoms": 45.0, "lattice": [[5.589, 0.000, 0.000], [0.000, 5.589, 0.000], [0.000, 0.000, 5.589]], "species": ["Na", "Tl", "Tl", "Tl", "Ga"], "frac_coords": [[0.000, 0.000, 0.000], [0.000, 0.500, 0.000], [0.000, 0.000, 0.500], [0.500, 0.000, 0.000], [0.500, 0.500, 0.500]]}



Entry 2:
{"formula": "NaTmTlGa", "functional": "PBE-GGA", "state": "relaxed", "magmom_total_mub_per_cell": 0.00, "formation_energy_ev_per_atom": -0.213, "lattice": [[-5.068, 0.825, -0.364], [-2.370, -0.503, -4.541], [-3.199, -3.950, -0.810]], "species": ["Na", "Tl", "Tm", "Ga"], "frac_coords": [[0.000, 0.000, 0.000], [0.750, 0.750, 0.750], [0.500, 0.500, 0.500], [0.250, 0.250, 0.250]]}



Entry 3:
{"formula": "NaTlVGa2", "functional": "PBE-GGA", "state": "relaxed", "magmom_total_mub_per_cell": 0.02, "formation_energy_ev_per_atom": 1.281, "lattice": [[-0.652, -3.611, -3.798], [3.672, -3.127, 2.343], [-3.793, -2.316, 2.853]], "species": ["Na", "Tl", "Ga", "Ga", "V"], "frac_coords": [[0.000, 0.500, 0.000], [0.000, 0.000, 0.000], [0.000, 0.000, 0.500], [0.500, 0.000, 0.000], [0.500, 0.500, 0.500]]}



Entry 4:
{"formula": "NaYTlGa", "functional": "PBE-GGA", "state": "relaxed", "magmom_total_mub_per_cell": 0.00, "formation_energy_ev_per_atom": -0.243, "lattice": [[5.190, 0.000, 0.000], [2.595, 4.495, 0.000], [2.595, 1.498, 4.238]], "species": ["Y", "Na", "Tl", "Ga"], "frac_coords": [[0.750, 0.750, 0.750], [0.250, 0.250, 0.250], [0.500, 0.500, 0.500], [0.000, 0.000, 0.000]]}



Entry 5:
{"formula": "NaTmGa6", "functional": "PBE-GGA", "state": "relaxed", "magmom_total_mub_per_cell": 0.00, "formation_energy_ev_per_atom": -0.241, "lattice": [[4.375, 0.000, 0.000], [0.000, 6.106, 0.000], [0.000, 0.000, 5.954]], "species": ["Na", "Tm", "Ga", "Ga", "Ga", "Ga", "Ga", "Ga"], "frac_coords": [[0.000, 0.598, 0.000], [0.500, 0.400, 0.500], [0.500, 0.855, 0.238], [0.000, 0.147, 0.736], [0.000, 0.147, 0.264], [0.500, 0.855, 0.762], [0.000, 0.745, 0.500], [0.500, 0.253, 0.000]]}



Entry 6:
{"formula": "NaTmGa2", "functional": "PBE-GGA", "state": "relaxed", "magmom_total_mub_per_cell": 0.00, "formation_energy_ev_per_atom": -0.298, "polymorph_energy_kj_per_mol_atoms": 0.0, "lattice": [[-0.518, 3.372, -1.170], [-4.411, -1.279, -1.732], [-2.034, 1.182, 4.308]], "species": ["Na", "Tm", "Ga", "Ga"], "frac_coords": [[0.500, 0.000, 0.000], [0.500, 0.500, 0.500], [0.000, 0.000, 0.500], [0.000, 0.500, 0.000]]}



Entry 7:
{"formula": "NaTm2Ga9", "functional": "PBE-GGA", "state": "relaxed", "magmom_total_mub_per_cell": 0.00, "formation_energy_ev_per_atom": -0.336, "lattice": [[4.236, 0.000, 0.000], [0.000, 4.236, 0.000], [0.000, 0.000, 12.820]], "species": ["Na", "Tm", "Tm", "Ga", "Ga", "Ga", "Ga", "Ga", "Ga", "Ga", "Ga", "Ga"], "frac_coords": [[0.000, 0.000, 0.000], [0.000, 0.000, 0.334], [0.000, 0.000, 0.666], [0.500, 0.500, 0.000], [0.500, 0.500, 0.336], [0.500, 0.500, 0.664], [0.500, 0.000, 0.165], [0.500, 0.000, 0.500], [0.500, 0.000, 0.835], [0.000, 0.500, 0.165], [0.000, 0.500, 0.500], [0.000, 0.500, 0.835]]}



Entry 8:
{"formula": "NaTmGa2", "functional": "PBE-GGA", "state": "relaxed", "magmom_total_mub_per_cell": 0.00, "formation_energy_ev_per_atom": -0.272, "polymorph_energy_kj_per_mol_atoms": 2.5, "lattice": [[4.964, 0.000, 0.000], [2.482, 4.299, 0.000], [2.482, 1.433, 4.053]], "species": ["Na", "Tm", "Ga", "Ga"], "frac_coords": [[0.500, 0.500, 0.500], [0.000, 0.000, 0.000], [0.250, 0.250, 0.250], [0.750, 0.750, 0.750]]}



Entry 9:
{"formula": "NaTmZnGa", "functional": "PBE-GGA", "state": "relaxed", "magmom_total_mub_per_cell": 0.00, "formation_energy_ev_per_atom": -0.182, "lattice": [[4.938, 0.000, 0.000], [2.469, 4.277, 0.000], [2.469, 1.426, 4.032]], "species": ["Na", "Zn", "Tm", "Ga"], "frac_coords": [[0.000, 0.000, 0.000], [0.750, 0.750, 0.750], [0.500, 0.500, 0.500], [0.250, 0.250, 0.250]]}



Entry 10:
{"formula": "NaUGa4", "functional": "PBE-GGA", "state": "relaxed", "magmom_total_mub_per_cell": 3.09, "formation_energy_ev_per_atom": -0.001, "lattice": [[5.530, 0.000, 0.000], [2.765, 4.789, 0.000], [2.765, 1.596, 4.515]], "species": ["Na", "U", "Ga", "Ga", "Ga", "Ga"], "frac_coords": [[0.250, 0.250, 0.250], [0.000, 0.000, 0.000], [0.625, 0.625, 0.124], [0.625, 0.124, 0.625], [0.625, 0.625, 0.625], [0.124, 0.625, 0.625]]}



Entry 11:
{"formula": "NaVGa2", "functional": "PBE-GGA", "state": "relaxed", "magmom_total_mub_per_cell": 0.00, "formation_energy_ev_per_atom": -0.031, "polymorph_energy_kj_per_mol_atoms": 0.0, "lattice": [[-1.012, -1.717, -1.880], [2.156, -1.654, 0.349], [-4.436, -4.426, 6.428]], "species": ["Na", "Ga", "Ga", "V"], "frac_coords": [[0.500, 0.500, 0.500], [0.000, 0.000, 0.782], [0.000, 0.000, 0.218], [0.500, 0.500, 0.000]]}



Entry 12:
{"formula": "NaV3Ga", "functional": "PBE-GGA", "state": "relaxed", "magmom_total_mub_per_cell": 8.98, "formation_energy_ev_per_atom": 1.208, "polymorph_energy_kj_per_mol_atoms": 0.0, "lattice": [[-4.751, 0.428, 0.935], [0.424, -3.209, 3.626], [0.936, 3.626, 3.099]], "species": ["Na", "Ga", "V", "V", "V"], "frac_coords": [[0.500, 0.500, 0.500], [0.000, 0.000, 0.000], [0.000, 0.500, 0.000], [0.000, 0.000, 0.500], [0.500, 0.000, 0.000]]}